1.
SmEuCuSi | PBE | optimized geometry

abc: 5.097 5.097 5.097
angles: 60.00 60.00 60.00
Fractional coordinates of all 4 atoms:
Sm 0.500 0.500 0.500
Eu 0.000 0.000 0.000
Si 0.250 0.250 0.250
Cu 0.750 0.750 0.750

## Properties
raw formation energy = -343 meV/atom
total moment = 7.237 μB/f.u.

---

2.
KSeO2 | PBE | optimized geometry

abc: 6.970 5.404 5.404
angles: 88.99 115.23 115.23
Fractional coordinates of all 8 atoms:
K 0.250 0.616 0.384
Se 0.750 0.914 0.086
O 0.266 0.135 0.238
K 0.750 0.384 0.616
O 0.766 0.238 0.135
O 0.234 0.762 0.865
O 0.734 0.865 0.762
Se 0.250 0.086 0.914

## Properties
raw formation energy = -1155 meV/atom
total moment = 0.000 μB/f.u.

---

3.
Er6CuPd2 | PBE | optimized geometry

abc: 8.338 8.338 8.338
angles: 106.53 110.91 111.01
Fractional coordinates of all 18 atoms:
Pd 0.500 0.634 0.134
Er 0.186 0.754 0.940
Er 0.097 0.273 0.824
Er 0.449 0.273 0.176
Cu 0.000 0.500 0.500
Pd 0.660 0.000 0.660
Cu 0.000 0.000 0.000
Er 0.296 0.967 0.670
Er 0.903 0.727 0.176
Pd 0.500 0.366 0.866
Er 0.814 0.754 0.567
Er 0.814 0.246 0.060
Er 0.551 0.727 0.824
Er 0.704 0.374 0.670
Er 0.186 0.246 0.433
Pd 0.340 0.000 0.340
Er 0.296 0.626 0.330
Er 0.704 0.033 0.330

## Properties
energy of formation from the pure elements = -454 meV per atom
total moment = 0.000 μB/f.u.

---

4.
ErMgIn6 | PBE | optimized geometry

abc: 4.600 6.586 6.586
angles: 89.98 90.00 90.00
Fractional coordinates of all 8 atoms:
In 0.000 0.252 0.748
Er 0.500 0.000 0.000
Mg 0.500 0.500 0.500
In 0.500 0.500 0.000
In 0.500 0.000 0.500
In 0.000 0.748 0.252
In 0.000 0.252 0.252
In 0.000 0.748 0.748

## Properties
energy of formation from the pure elements = -172 meV per atom
total moment = 0.000 μB/f.u.

---

5.
LiCa2Pt | PBE | optimized geometry

abc: 4.038 4.038 9.136
angles: 76.11 76.11 61.15
Fractional coordinates of all 4 atoms:
Li 0.250 0.250 0.250
Ca 0.020 0.020 0.933
Ca 0.480 0.480 0.567
Pt 0.750 0.750 0.750

## Properties
energy of formation from the pure elements = -396 meV per atom
total moment = 0.000 μB/f.u.

---

6.
Be2CrW | PBE | optimized geometry

abc: 2.515 3.716 5.082
angles: 90.00 90.00 90.00
Fractional coordinates of all 4 atoms:
Be 0.500 0.500 0.244
Cr 0.000 0.000 0.487
W 0.500 0.500 0.750
Be 0.000 0.000 0.019

## Properties
energy of formation from the pure elements = 377 meV per atom
total moment = 0.000 μB/f.u.

---

7.
Sb2AsPb8 | PBE | optimized geometry

abc: 5.183 7.046 9.805
angles: 98.07 105.32 90.00
Fractional coordinates of all 11 atoms:
Pb 0.598 0.493 0.196
Sb 0.833 0.225 0.667
Pb 0.209 0.357 0.418
Pb 0.343 0.958 0.686
As 0.500 0.000 0.000
Pb 0.657 0.042 0.314
Pb 0.001 0.243 0.003
Pb 0.791 0.643 0.582
Pb 0.402 0.507 0.804
Pb 0.999 0.757 0.997
Sb 0.167 0.775 0.333

## Properties
raw formation energy = 45 meV/atom
total moment = 0.000 μB/f.u.

---

8.
HfCrB2 | PBE | optimized geometry

abc: 3.830 3.830 7.433
angles: 75.07 75.07 90.00
Fractional coordinates of all 8 atoms:
Hf 0.000 0.000 0.000
B 0.375 0.625 0.250
Hf 0.750 0.250 0.500
Cr 0.500 0.500 0.000
B 0.875 0.625 0.750
B 0.375 0.625 0.750
Cr 0.250 0.750 0.500
B 0.375 0.125 0.250

## Properties
energy of formation from the pure elements = 175 meV per atom
total moment = 0.000 μB/f.u.

---

9.
La2CeOsN4 | PBE | optimized geometry

abc: 3.441 6.260 12.369
angles: 90.00 90.00 105.95
Fractional coordinates of all 16 atoms:
La 0.367 0.735 0.953
La 0.367 0.735 0.547
Os 0.848 0.696 0.750
Os 0.152 0.304 0.250
N 0.448 0.896 0.750
La 0.633 0.265 0.047
N 0.718 0.436 0.644
N 0.000 0.000 0.000
N 0.718 0.436 0.856
La 0.633 0.265 0.453
N 0.000 0.000 0.500
N 0.282 0.564 0.144
Ce 0.890 0.780 0.250
N 0.552 0.104 0.250
Ce 0.110 0.220 0.750
N 0.282 0.564 0.356

## Properties
raw formation energy = -822 meV/atom
total moment = 0.000 μB/f.u.

---

10.
DyOs6 | PBE | optimized geometry

abc: 5.884 5.884 5.884
angles: 109.47 109.47 109.47
Fractional coordinates of all 7 atoms:
Os 0.500 0.250 0.750
Os 0.750 0.500 0.250
Os 0.500 0.750 0.250
Dy 0.000 0.000 0.000
Os 0.750 0.250 0.500
Os 0.250 0.750 0.500
Os 0.250 0.500 0.750

## Properties
energy of formation from the pure elements = 805 meV per atom
total moment = 0.000 μB/f.u.

---

11.
Ti2ReMo4 | PBE | optimized geometry

abc: 2.692 8.209 6.944
angles: 58.22 75.18 59.10
Fractional coordinates of all 7 atoms:
Mo 0.339 0.439 0.850
Mo 0.661 0.561 0.150
Mo 0.117 0.284 0.573
Re 0.000 0.000 0.000
Ti 0.879 0.146 0.272
Mo 0.883 0.716 0.427
Ti 0.121 0.854 0.728

## Properties
energy of formation from the pure elements = 31 meV per atom
total moment = 0.000 μB/f.u.

---

12.
Sc6GaCu5 | PBE | optimized geometry

abc: 4.614 6.614 7.300
angles: 90.00 71.58 90.00
Fractional coordinates of all 12 atoms:
Cu 0.663 0.000 0.674
Cu 0.337 0.000 0.326
Cu 0.000 0.500 0.000
Ga 0.000 0.000 0.000
Sc 0.500 0.743 0.000
Sc 0.832 0.253 0.337
Cu 0.333 0.500 0.335
Cu 0.667 0.500 0.665
Sc 0.832 0.747 0.337
Sc 0.500 0.257 0.000
Sc 0.168 0.747 0.663
Sc 0.168 0.253 0.663

## Properties
energy of formation from the pure elements = -338 meV per atom
total moment = 0.000 μB/f.u.

---

13.
CaMg3Cu3 | PBE | optimized geometry

abc: 8.508 8.509 4.374
angles: 90.00 90.00 120.01
Fractional coordinates of all 14 atoms:
Mg 0.964 0.232 0.750
Mg 0.268 0.036 0.750
Cu 0.547 0.594 0.250
Mg 0.768 0.731 0.750
Ca 0.333 0.667 0.750
Cu 0.406 0.953 0.250
Mg 0.732 0.964 0.250
Cu 0.047 0.453 0.250
Cu 0.953 0.547 0.750
Cu 0.453 0.406 0.750
Mg 0.232 0.269 0.250
Ca 0.667 0.333 0.250
Mg 0.036 0.768 0.250
Cu 0.594 0.047 0.750

## Properties
energy of formation from the pure elements = -74 meV per atom
total moment = 0.000 μB/f.u.

---

14.
Ba2ScMo | PBE | optimized geometry

abc: 3.798 3.798 9.566
angles: 90.00 90.00 90.00
Fractional coordinates of all 4 atoms:
Sc 0.500 0.500 0.671
Mo 0.000 0.000 0.572
Ba 0.000 0.000 0.931
Ba 0.500 0.500 0.326

## Properties
energy of formation from the pure elements = 539 meV per atom
total moment = 0.000 μB/f.u.

---

15.
Sc2NiBr | PBE | optimized geometry

abc: 3.749 3.749 5.656
angles: 90.00 90.00 90.00
Fractional coordinates of all 4 atoms:
Ni 0.500 0.500 0.876
Sc 0.000 0.000 0.890
Sc 0.500 0.500 0.325
Br 0.000 0.000 0.409

## Properties
raw formation energy = -483 meV/atom
total moment = 0.000 μB/f.u.

---

16.
ErReMo | PBE | optimized geometry

abc: 5.430 5.442 5.442
angles: 60.42 60.08 60.08
Fractional coordinates of all 6 atoms:
Er 0.123 0.627 0.627
Mo 0.500 0.500 0.000
Re 0.000 0.000 0.000
Mo 0.500 0.000 0.500
Re 0.500 0.000 0.000
Er 0.877 0.373 0.373

## Properties
energy of formation from the pure elements = -128 meV per atom
total moment = 0.000 μB/f.u.

---

17.
Tl2BiPC | PBE | optimized geometry

abc: 6.161 3.490 6.161
angles: 90.00 90.00 90.00
Fractional coordinates of all 5 atoms:
Bi 0.500 0.500 0.500
C 0.000 0.500 0.000
Tl 0.000 0.000 0.500
P 0.000 0.000 0.000
Tl 0.500 0.000 0.000

## Properties
energy of formation from the pure elements = 725 meV per atom
total moment = 0.000 μB/f.u.

---

18.
VCr3Re | PBE | optimized geometry

abc: 4.769 7.498 7.498
angles: 78.41 82.29 82.29
Fractional coordinates of all 20 atoms:
Re 0.470 0.490 0.673
Cr 0.060 0.540 0.167
Re 0.530 0.510 0.327
Cr 0.599 0.630 0.994
Cr 0.628 0.849 0.733
Cr 0.560 0.167 0.540
Cr 0.901 0.006 0.370
Cr 0.401 0.370 0.006
Cr 0.940 0.460 0.833
Re 0.030 0.327 0.510
V 0.250 0.844 0.156
Cr 0.872 0.267 0.151
Cr 0.099 0.994 0.630
Cr 0.128 0.733 0.849
Re 0.970 0.673 0.490
Cr 0.372 0.151 0.267
V 0.750 0.866 0.134
Cr 0.440 0.833 0.460
V 0.750 0.156 0.844
V 0.250 0.134 0.866

## Properties
energy of formation from the pure elements = 152 meV per atom
total moment = 0.000 μB/f.u.

---

19.
Y3Er7Th | PBE | optimized geometry

abc: 9.826 9.826 13.132
angles: 100.93 100.93 138.70
Fractional coordinates of all 22 atoms:
Y 0.000 0.000 0.000
Y 0.500 0.000 0.250
Th 0.500 0.500 0.000
Er 0.440 0.117 0.527
Er 0.913 0.087 0.250
Er 0.117 0.440 0.527
Y 0.000 0.500 0.250
Th 0.500 0.500 0.500
Er 0.500 0.500 0.750
Y 0.500 0.000 0.750
Er 0.500 0.500 0.250
Y 0.000 0.000 0.500
Er 0.560 0.883 0.473
Er 0.883 0.560 0.973
Er 0.087 0.913 0.250
Y 0.000 0.500 0.750
Er 0.883 0.560 0.473
Er 0.117 0.440 0.027
Er 0.913 0.087 0.750
Er 0.087 0.913 0.750
Er 0.560 0.883 0.973
Er 0.440 0.117 0.027

## Properties
energy of formation from the pure elements = 165 meV per atom
total moment = 0.000 μB/f.u.

---

20.
Sr2CrFeC | PBE | optimized geometry

abc: 5.945 3.780 5.945
angles: 90.00 90.00 90.00
Fractional coordinates of all 5 atoms:
C 0.000 0.500 0.000
Sr 0.000 0.000 0.500
Fe 0.500 0.500 0.500
Sr 0.500 0.000 0.000
Cr 0.000 0.000 0.000

## Properties
energy of formation from the pure elements = 1090 meV per atom
total moment = 5.502 μB/f.u.

---

| no. | calculated total energy (eV per atom) | DOS at the Fermi energy (states/eV/f.u.) |
| --- | --- | --- |
| 1 | -6.4716 | 7.11 |
| 2 | -4.7801 | 0.28 |
| 3 | -5.1052 | 8.15 |
| 4 | -2.9958 | 4.27 |
| 5 | -3.3857 | 2.54 |
| 6 | -7.1302 | 2.65 |
| 7 | -3.8247 | 5.30 |
| 8 | -8.0578 | 1.18 |
| 9 | -8.3616 | 4.10 |
| 10 | -9.4783 | 6.83 |
| 11 | -10.1922 | 7.66 |
| 12 | -5.4630 | 8.21 |
| 13 | -2.7988 | 2.69 |
| 14 | -4.7134 | 4.18 |
| 15 | -5.5121 | 2.59 |
| 16 | -9.4087 | 2.28 |
| 17 | -3.9241 | 2.22 |
| 18 | -9.9354 | 4.72 |
| 19 | -5.1765 | 17.78 |
| 20 | -5.0452 | 7.42 |